1.
DFT (PBE-GGA) results for an optimized crystal structure of SrGaBr2.

Output
The energy above the most stable polymorph in this dataset is 0.00 eV/f.u.

Unit cell a=4.363 b=4.363 c=30.483 alpha=90.00 beta=90.00 gamma=120.00
Fractional positions:
Sr (0.000, 0.000, 0.000)
Sr (0.333, 0.667, 0.667)
Sr (0.667, 0.333, 0.333)
Ga (0.000, 0.000, 0.500)
Ga (0.333, 0.667, 0.167)
Ga (0.667, 0.333, 0.833)
Br (0.000, 0.000, 0.389)
Br (0.000, 0.000, 0.611)
Br (0.333, 0.667, 0.056)
Br (0.333, 0.667, 0.278)
Br (0.667, 0.333, 0.722)
Br (0.667, 0.333, 0.944)

2.
DFT (PBE-GGA) results for an optimized crystal structure of SrBiH2.

Output
The energy above the most stable polymorph in this dataset is 0.98 eV/f.u.

Unit cell a=4.908 b=4.908 c=13.692 alpha=90.00 beta=90.00 gamma=90.00
Fractional positions:
Sr (0.000, 0.000, 0.000)
Sr (0.000, 0.500, 0.250)
Sr (0.500, 0.000, 0.750)
Sr (0.500, 0.500, 0.500)
Bi (0.000, 0.000, 0.500)
Bi (0.000, 0.500, 0.750)
Bi (0.500, 0.000, 0.250)
Bi (0.500, 0.500, 0.000)
H (0.226, 0.250, 0.625)
H (0.250, 0.726, 0.875)
H (0.250, 0.774, 0.375)
H (0.274, 0.250, 0.125)
H (0.726, 0.750, 0.125)
H (0.750, 0.226, 0.375)
H (0.750, 0.274, 0.875)
H (0.774, 0.750, 0.625)

3.
DFT (PBE-GGA) results for an optimized crystal structure of Zn2OsRh.

Output
The energy above the most stable polymorph in this dataset is 0.09 eV/f.u. The formation energy is 11 meV per atom.

Unit cell a=2.743 b=2.743 c=26.606 alpha=90.00 beta=90.00 gamma=120.00
Fractional positions:
Zn (0.000, 0.000, 0.000)
Zn (0.000, 0.000, 0.244)
Zn (0.333, 0.667, 0.667)
Zn (0.333, 0.667, 0.911)
Zn (0.667, 0.333, 0.333)
Zn (0.667, 0.333, 0.578)
Os (0.000, 0.000, 0.494)
Os (0.333, 0.667, 0.161)
Os (0.667, 0.333, 0.828)
Rh (0.000, 0.000, 0.748)
Rh (0.333, 0.667, 0.414)
Rh (0.667, 0.333, 0.081)

4.
DFT (PBE-GGA) results for an optimized crystal structure of KSmH2S2O9.

Output
For the energy, the calculation gives -6.24 eV/atom.

Unit cell a=10.219 b=8.668 c=10.686 alpha=90.00 beta=120.97 gamma=90.00
Fractional positions:
K (0.211, 0.191, 0.191)
K (0.211, 0.309, 0.691)
K (0.789, 0.691, 0.309)
K (0.789, 0.809, 0.809)
Sm (0.270, 0.663, 0.020)
Sm (0.270, 0.837, 0.520)
Sm (0.730, 0.163, 0.480)
Sm (0.730, 0.337, 0.980)
H (0.267, 0.510, 0.433)
H (0.267, 0.990, 0.933)
H (0.407, 0.502, 0.595)
H (0.407, 0.998, 0.095)
H (0.593, 0.002, 0.905)
H (0.593, 0.498, 0.405)
H (0.733, 0.010, 0.067)
H (0.733, 0.490, 0.567)
S (0.055, 0.615, 0.183)
S (0.055, 0.885, 0.683)
S (0.473, 0.676, 0.881)
S (0.473, 0.824, 0.381)
S (0.527, 0.176, 0.619)
S (0.527, 0.324, 0.119)
S (0.945, 0.115, 0.317)
S (0.945, 0.385, 0.817)
O (0.069, 0.715, 0.303)
O (0.069, 0.785, 0.803)
O (0.073, 0.711, 0.076)
O (0.073, 0.789, 0.576)
O (0.101, 0.048, 0.394)
O (0.101, 0.452, 0.894)
O (0.175, 0.006, 0.744)
O (0.175, 0.494, 0.244)
O (0.304, 0.545, 0.535)
O (0.304, 0.955, 0.035)
O (0.326, 0.593, 0.830)
O (0.326, 0.907, 0.330)
O (0.410, 0.071, 0.616)
O (0.410, 0.429, 0.116)
O (0.451, 0.696, 0.278)
O (0.451, 0.804, 0.778)
O (0.480, 0.239, 0.472)
O (0.480, 0.261, 0.972)
O (0.520, 0.739, 0.028)
O (0.520, 0.761, 0.528)
O (0.549, 0.196, 0.222)
O (0.549, 0.304, 0.722)
O (0.590, 0.571, 0.884)
O (0.590, 0.929, 0.384)
O (0.674, 0.093, 0.670)
O (0.674, 0.407, 0.170)
O (0.696, 0.045, 0.965)
O (0.696, 0.455, 0.465)
O (0.825, 0.506, 0.756)
O (0.825, 0.994, 0.256)
O (0.899, 0.548, 0.106)
O (0.899, 0.952, 0.606)
O (0.927, 0.211, 0.424)
O (0.927, 0.289, 0.924)
O (0.931, 0.215, 0.197)
O (0.931, 0.285, 0.697)

5.
DFT (PBE-GGA) results for an optimized crystal structure of BaNiSn2Hg.

Output
The formation energy is -270 meV per atom.

Unit cell a=5.119 b=5.119 c=5.209 alpha=90.00 beta=90.00 gamma=90.00
Fractional positions:
Ba (0.000, 0.000, 0.000)
Ni (0.500, 0.500, 0.500)
Sn (0.000, 0.500, 0.500)
Sn (0.500, 0.000, 0.500)
Hg (0.500, 0.500, 0.000)

6.
DFT (PBE-GGA) results for an optimized crystal structure of Al8Fe5.

Output
The formation energy is -286 meV per atom.

Unit cell a=7.628 b=7.628 c=7.628 alpha=109.47 beta=109.47 gamma=109.47
Fractional positions:
Al (0.000, 0.000, 0.788)
Al (0.000, 0.272, 0.650)
Al (0.000, 0.650, 0.272)
Al (0.000, 0.788, 0.000)
Al (0.212, 0.212, 0.212)
Al (0.272, 0.000, 0.650)
Al (0.272, 0.650, 0.000)
Al (0.350, 0.350, 0.622)
Al (0.350, 0.622, 0.350)
Al (0.378, 0.728, 0.728)
Al (0.622, 0.350, 0.350)
Al (0.650, 0.000, 0.272)
Al (0.650, 0.272, 0.000)
Al (0.728, 0.378, 0.728)
Al (0.728, 0.728, 0.378)
Al (0.788, 0.000, 0.000)
Fe (0.000, 0.000, 0.337)
Fe (0.000, 0.337, 0.000)
Fe (0.000, 0.360, 0.360)
Fe (0.000, 0.640, 0.640)
Fe (0.337, 0.000, 0.000)
Fe (0.360, 0.000, 0.360)
Fe (0.360, 0.360, 0.000)
Fe (0.640, 0.000, 0.640)
Fe (0.640, 0.640, 0.000)
Fe (0.663, 0.663, 0.663)

7.
DFT (PBE-GGA) results for an optimized crystal structure of Sc2PSeS.

Output
For the energy, the calculation gives -5.76 eV/atom.

Unit cell a=5.005 b=5.005 c=4.320 alpha=90.00 beta=90.00 gamma=90.00
Fractional positions:
Sc (0.000, 0.500, 0.000)
Sc (0.500, 0.000, 0.000)
P (0.000, 0.000, 0.000)
Se (0.500, 0.500, 0.500)
S (0.000, 0.000, 0.500)

8.
DFT (PBE-GGA) results for an optimized crystal structure of AcPr6Sm2Er.

Output
The formation energy is 114 meV per atom.

Unit cell a=9.175 b=9.175 c=9.847 alpha=93.08 beta=93.08 gamma=117.99
Fractional positions:
Ac (0.024, 0.976, 0.750)
Ac (0.976, 0.024, 0.250)
Pr (0.010, 0.561, 0.689)
Pr (0.128, 0.753, 0.054)
Pr (0.247, 0.872, 0.446)
Pr (0.290, 0.504, 0.884)
Pr (0.439, 0.990, 0.811)
Pr (0.496, 0.710, 0.616)
Pr (0.504, 0.290, 0.384)
Pr (0.561, 0.010, 0.189)
Pr (0.710, 0.496, 0.116)
Pr (0.753, 0.128, 0.554)
Pr (0.872, 0.247, 0.946)
Pr (0.990, 0.439, 0.311)
Sm (0.202, 0.314, 0.546)
Sm (0.314, 0.202, 0.046)
Sm (0.686, 0.798, 0.954)
Sm (0.798, 0.686, 0.454)
Er (0.412, 0.588, 0.250)
Er (0.588, 0.412, 0.750)

Number 1: mass density 3.144 g/cm³. Number 2: mass density 6.015 g/cm³. Number 3: mass density 12.186 g/cm³. Number 4: mass density 3.270 g/cm³. Number 5: mass density 7.713 g/cm³. Number 6: mass density 4.813 g/cm³. Number 7: mass density 3.559 g/cm³. Number 8: mass density 7.027 g/cm³.